{"formula": "Y4TeAs2P", "functional": "GGA-PBE", "state": "optimized geometry", "spacegroup": "P2/m", "n_ef_per_ev_fu": 1.437, "formation_energy_uncorrected_ev_per_atom": -1.542, "lattice": [[7.188, 0.000, 0.000], [0.000, 4.147, 0.000], [-2.383, 0.000, 6.824]], "species": ["Y", "Y", "Y", "Y", "Te", "As", "As", "P"], "fractional_positions": [[0.236, 0.000, 0.230], [0.247, 0.500, 0.763], [0.753, 0.500, 0.237], [0.764, 0.000, 0.770], [0.500, 0.500, 0.500], [0.000, 0.000, 0.500], [0.000, 0.500, 0.000], [0.500, 0.000, 0.000]]}